First-principles (meta-GGA SCAN) data for a PBEsol-optimized structure of Zn12Tc17, as listed in Alexandria.

```
data_Zn12Tc17
_chemical_formula_sum 'Zn24 Tc34'
_space_group_name_H-M_alt 'I -4 3 m'
_space_group_IT_number 217
_space_group_name_Hall 'I -4 2 3'
_cell_length_a 9.204
_cell_length_b 9.204
_cell_length_c 9.204
_cell_angle_alpha 90.00
_cell_angle_beta 90.00
_cell_angle_gamma 90.00
loop_
_atom_site_label
_atom_site_type_symbol
_atom_site_fract_x
_atom_site_fract_y
_atom_site_fract_z
Zn1 Zn 0.091 0.091 0.724
Tc1 Tc 0.000 0.000 0.000
Tc2 Tc 0.047 0.364 0.636
Tc3 Tc 0.185 0.185 0.185
```

Summary:
The calculated formation energy comes out at -0.01 eV per atom.

First-principles (meta-GGA SCAN) data for a PBEsol-optimized structure of TlTeAu, as listed in Alexandria.

```
data_TlTeAu
_chemical_formula_sum 'Tl1 Te1 Au1'
_space_group_name_H-M_alt 'P 3 m 1'
_space_group_IT_number 156
_cell_length_a 4.5987
_cell_length_b 4.5987
_cell_length_c 4.6556
_cell_angle_alpha 90.00
_cell_angle_beta 90.00
_cell_angle_gamma 120.00
loop_
_space_group_symop_operation_xyz
'x,y,z'
'-y,x-y,z'
'-x+y,-x,z'
'-y,-x,z'
'-x+y,y,z'
'x,x-y,z'
loop_
_atom_site_label
_atom_site_type_symbol
_atom_site_fract_x
_atom_site_fract_y
_atom_site_fract_z
Tl1 Tl 0.0000 0.0000 0.0000
Te1 Te 0.3333 0.6667 0.5046
Au1 Au 0.6667 0.3333 0.4268
```

Summary:
The total energy is -59.8394 eV per atom.

First-principles (meta-GGA SCAN) data for a PBEsol-optimized structure of Ba2LaOs, as listed in Alexandria.

```
data_Ba2LaOs
_chemical_formula_sum 'Ba8 La4 Os4'
_space_group_name_H-M_alt 'F -4 3 m'
_space_group_IT_number 216
_space_group_name_Hall 'F -4 2 3'
_cell_length_a 7.690
_cell_length_b 7.690
_cell_length_c 7.690
_cell_angle_alpha 90.00
_cell_angle_beta 90.00
_cell_angle_gamma 90.00
loop_
_atom_site_label
_atom_site_type_symbol
_atom_site_fract_x
_atom_site_fract_y
_atom_site_fract_z
Ba1 Ba 0.000 0.000 0.000
Ba2 Ba 0.250 0.250 0.250
La1 La 0.250 0.250 0.750
Os1 Os 0.000 0.000 0.500
```

Summary:
The calculated formation energy comes out at 0.61 eV per atom.